No. 1
The following is a DFT calculation (GGA-PBE) of a geometry-optimized HfZr2Ga structure.

Cell: 4.3539 4.3539 4.3308 Å, 90.00 90.00 90.00°
With the nearest neighbours (Å) after each atom.
Fractional positions:
Hf 0.0000 0.0000 0.0000  8 Zr 3.07, 4 Ga 3.08
Zr 0.0000 0.5000 0.5000  4 Hf 3.07, 4 Ga 3.07, 4 Zr 3.08
Zr 0.5000 0.0000 0.5000  4 Hf 3.07, 4 Ga 3.07, 4 Zr 3.08
Ga 0.5000 0.5000 0.0000  8 Zr 3.07, 4 Hf 3.08

Values from the calculation:
Its crystal system is tetragonal. The space-group type is P4/mmm, No. 123. The distance to the lowest polymorph of the same formula is 0.000 eV/atom. The density of states at the Fermi level is 3.37 states/eV/cell. Its theoretical density is 8.71 g cm⁻³.

No. 2
The following is a DFT calculation (GGA-PBE) of a geometry-optimized GeBPAu2 structure.

Cell: 4.6573 4.6573 5.0556 Å, 90.00 90.00 90.00°
With the nearest neighbours (Å) after each atom.
Fractional positions:
Ge 0.0000 0.0000 0.0000  2 P 2.53
B 0.5000 0.5000 0.0000  4 Ge 3.29, 8 Au 3.44
P 0.0000 0.0000 0.5000  4 Au 2.33, 2 Ge 2.53
Au 0.0000 0.5000 0.5000  2 P 2.33
Au 0.5000 0.0000 0.5000  2 P 2.33

Values from the calculation:
Its crystal system is tetragonal. The space-group type is P4/mmm, No. 123. The density of states at the Fermi level is 3.12 states/eV/cell. The calculation puts the calculated total energy at -3.40 eV/atom. Its theoretical density is 7.70 g cm⁻³.

No. 3
The following is a DFT calculation (GGA-PBE) of a geometry-optimized FeCuSb2 structure.

Cell: 4.7103 4.7103 4.7103 Å, 60.00 60.00 60.00°
With the nearest neighbours (Å) after each atom.
Fractional positions:
Fe 0.0000 0.0000 0.0000  8 Sb 2.88
Cu 0.5000 0.5000 0.5000  8 Sb 2.88
Sb 0.2500 0.2500 0.2500  4 Fe 2.88, 4 Cu 2.88
Sb 0.7500 0.7500 0.7500  4 Fe 2.88, 4 Cu 2.88

Values from the calculation:
Its crystal system is cubic. The space-group type is Fm-3m, No. 225. The density of states at the Fermi level is 3.81 states/eV/cell. Its formation energy without anion corrections is 152 kJ/mol of formula units. Its theoretical density is 8.15 g cm⁻³.

No. 4
The following is a DFT calculation (GGA-PBE) of a geometry-optimized TaBeOF2 structure.

Cell: 4.2504 4.2504 3.9083 Å, 90.00 90.00 90.00°
With the nearest neighbours (Å) after each atom.
Fractional positions:
Ta 0.0000 0.0000 0.0000  2 O 1.95, 4 F 2.13
Be 0.5000 0.5000 0.5000  8 F 2.89, 4 O 3.01
O 0.0000 0.0000 0.5000  2 Ta 1.95
F 0.0000 0.5000 0.0000  2 Ta 2.13
F 0.5000 0.0000 0.0000  2 Ta 2.13

Values from the calculation:
Its crystal system is tetragonal. The space-group type is P4/mmm, No. 123. The density of states at the Fermi level is 1.86 states/eV/cell. Its formation energy without anion corrections is -645 kJ/mol of formula units. Its theoretical density is 5.74 g cm⁻³.

No. 5
The following is a DFT calculation (GGA-PBE) of a geometry-optimized SnBiCl structure.

Cell: 5.2392 5.2392 3.3943 Å, 90.00 90.00 120.00°
With the nearest neighbours (Å) after each atom.
Fractional positions:
Sn 0.0000 0.0000 0.0000  3 Bi 3.15, 3 Cl 3.22, 2 Sn 3.39
Bi 0.3333 0.6667 0.2640  3 Sn 3.15, 3 Cl 3.33, 2 Bi 3.39
Cl 0.6667 0.3333 0.6744  3 Sn 3.22, 3 Bi 3.33, 2 Cl 3.39

Values from the calculation:
Its crystal system is trigonal. The space-group type is P3m1, No. 156. The distance to the lowest polymorph of the same formula is 0.166 eV/atom. The density of states at the Fermi level is 2.15 states/eV/cell. Its formation energy without anion corrections is -54 kJ/mol of formula units. Its theoretical density is 7.47 g cm⁻³.

No. 6
The following is a DFT calculation (GGA-PBE) of a geometry-optimized CrTcPb structure.

Cell: 4.3310 4.3310 4.3310 Å, 60.00 60.00 60.00°
With the nearest neighbours (Å) after each atom.
Fractional positions:
Cr 0.0000 0.0000 0.0000  4 Pb 2.65, 4 Tc 2.65
Tc 0.2500 0.2500 0.2500  4 Cr 2.65
Pb 0.7500 0.7500 0.7500  4 Cr 2.65

Values from the calculation:
Its crystal system is cubic. The space-group type is F-43m, No. 216. The distance to the lowest polymorph of the same formula is 0.164 eV/atom. The density of states at the Fermi level is 1.86 states/eV/cell. Its theoretical density is 10.33 g cm⁻³.

No. 7
The following is a DFT calculation (GGA-PBE) of a geometry-optimized ThSnAu structure.

Cell: 8.1312 8.1312 8.1312 Å, 155.74 155.74 34.58°
With the nearest neighbours (Å) after each atom.
Fractional positions:
Th 0.0000 0.0000 0.0000  4 Au 3.08, 1 Sn 3.14, 4 Th 3.42
Sn 0.7975 0.7975 0.0000  1 Au 2.70
Au 0.6233 0.6233 0.0000  1 Sn 2.70

Values from the calculation:
Its crystal system is tetragonal. The space-group type is I4mm, No. 107. The density of states at the Fermi level is 2.68 states/eV/cell. The calculation puts the calculated total energy at -4.91 eV/atom. Its theoretical density is 10.03 g cm⁻³.

No. 8
The following is a DFT calculation (GGA-PBE) of a geometry-optimized Th2Zr3 structure.

Cell: 6.4597 6.4597 6.4597 Å, 87.62 87.62 87.62°
With the nearest neighbours (Å) after each atom.
Fractional positions:
Th 0.1250 0.1250 0.1250  2 Th 2.91, 3 Zr 3.01
Th 0.3750 0.3750 0.3750  2 Th 2.91, 3 Zr 3.01
Th 0.6250 0.6250 0.6250  2 Th 2.91, 3 Zr 3.01
Th 0.8750 0.8750 0.8750  2 Th 2.91, 3 Zr 3.01
Zr 0.0846 0.7500 0.4154  4 Th 3.01-3.33
Zr 0.2500 0.5846 0.9154  4 Th 3.01-3.33
Zr 0.4154 0.0846 0.7500  4 Th 3.01-3.33
Zr 0.5846 0.9154 0.2500  4 Th 3.01-3.33
Zr 0.7500 0.4154 0.0846  4 Th 3.01-3.33
Zr 0.9154 0.2500 0.5846  4 Th 3.01-3.33

Values from the calculation:
Its crystal system is trigonal. The space-group type is R-3c, No. 167. The density of states at the Fermi level is 19.26 states/eV/cell. The calculation puts the calculated total energy at -7.59 eV/atom. Its theoretical density is 9.11 g cm⁻³.

No. 9
The following is a DFT calculation (GGA-PBE) of a geometry-optimized Sr3Pu2N4 structure.

Cell: 6.5252 6.5252 9.1862 Å, 123.11 123.11 33.67°
With the nearest neighbours (Å) after each atom.
Fractional positions:
Sr 0.0000 0.0000 0.0000  6 N 2.72-2.73
Sr 0.1922 0.1922 0.7939  3 N 2.66-2.78
Sr 0.8078 0.8078 0.2061  3 N 2.66-2.78
Pu 0.3929 0.3929 0.6142  4 N 2.15-2.36
Pu 0.6071 0.6071 0.3858  4 N 2.15-2.36
N 0.2026 0.2026 0.3479  3 Pu 2.24-2.36
N 0.4211 0.4211 0.1341  1 Pu 2.15
N 0.5789 0.5789 0.8659  1 Pu 2.15
N 0.7974 0.7974 0.6521  3 Pu 2.24-2.36

Values from the calculation:
Its crystal system is monoclinic. The space-group type is C2/m, No. 12. The density of states at the Fermi level is 11.95 states/eV/cell. Its formation energy without anion corrections is -746 kJ/mol of formula units. Its theoretical density is 7.52 g cm⁻³.

No. 10
The following is a DFT calculation (GGA-PBE) of a geometry-optimized MnReRh2 structure.

Cell: 2.7524 2.7524 7.5370 Å, 90.00 90.00 90.00°
With the nearest neighbours (Å) after each atom.
Fractional positions:
Mn 0.0000 0.0000 0.0000  8 Rh 2.71, 4 Mn 2.75
Re 0.0000 0.0000 0.5000  8 Rh 2.70, 4 Re 2.75
Rh 0.5000 0.5000 0.2509  4 Re 2.70, 4 Mn 2.71, 4 Rh 2.75
Rh 0.5000 0.5000 0.7491  4 Re 2.70, 4 Mn 2.71, 4 Rh 2.75

Values from the calculation:
Its crystal system is tetragonal. The space-group type is P4/mmm, No. 123. The distance to the lowest polymorph of the same formula is 0.004 eV/atom. The density of states at the Fermi level is 3.74 states/eV/cell. Its theoretical density is 13.00 g cm⁻³.

No. 11
The following is a DFT calculation (GGA-PBE) of a geometry-optimized MnGaCo3 structure.

Cell: 4.2422 4.2422 4.2422 Å, 90.00 90.00 90.00°
With the nearest neighbours (Å) after each atom.
Fractional positions:
Mn 0.0000 0.0000 0.0000  12 Co 3.00
Ga 0.5000 0.5000 0.5000  6 Co 2.12
Co 0.0000 0.5000 0.5000  2 Ga 2.12
Co 0.5000 0.0000 0.5000  2 Ga 2.12
Co 0.5000 0.5000 0.0000  2 Ga 2.12

Values from the calculation:
Its crystal system is cubic. The space-group type is Pm-3m, No. 221. The distance to the lowest polymorph of the same formula is 0.370 eV/atom. The density of states at the Fermi level is 7.41 states/eV/cell. Its theoretical density is 6.56 g cm⁻³.

No. 12
The following is a DFT calculation (GGA-PBE) of a geometry-optimized Rb4Ce3DyS8 structure.

Cell: 9.0869 9.0869 9.0869 Å, 55.16 55.16 55.16°
With the nearest neighbours (Å) after each atom.
Fractional positions:
Rb 0.0000 0.0000 0.0000  6 S 3.42
Rb 0.0000 0.5000 0.5000  6 S 3.36-3.37
Rb 0.5000 0.0000 0.5000  6 S 3.36-3.37
Rb 0.5000 0.5000 0.0000  6 S 3.36-3.37
Ce 0.0000 0.0000 0.5000  6 S 2.86-2.87
Ce 0.0000 0.5000 0.0000  6 S 2.86-2.87
Ce 0.5000 0.0000 0.0000  6 S 2.86-2.87
Dy 0.5000 0.5000 0.5000  6 S 2.80
S 0.2322 0.2322 0.2322  3 Ce 2.86
S 0.2389 0.7276 0.7276  1 Dy 2.80, 2 Ce 2.87
S 0.2724 0.2724 0.7611  1 Dy 2.80, 2 Ce 2.87
S 0.2724 0.7611 0.2724  1 Dy 2.80, 2 Ce 2.87
S 0.7276 0.2389 0.7276  1 Dy 2.80, 2 Ce 2.87
S 0.7276 0.7276 0.2389  1 Dy 2.80, 2 Ce 2.87
S 0.7611 0.2724 0.2724  1 Dy 2.80, 2 Ce 2.87
S 0.7678 0.7678 0.7678  3 Ce 2.86

Values from the calculation:
Its crystal system is trigonal. The space-group type is R-3m, No. 166. The density of states at the Fermi level is 18.52 states/eV/cell. Its formation energy without anion corrections is -2751 kJ/mol of formula units. Its theoretical density is 4.17 g cm⁻³.